First-principles (GGA-PBEsol) data for an optimized crystal structure of Ca2Mn2O5, as listed in Alexandria via LeMat-Bulk.

Cell: 3.762 5.354 10.157 Å, 90.00 90.00 90.00°
Each line ends with the local moment (μB).
Positions (direct):
Mn 0.000 0.282 0.381  3.49
Mn 0.000 0.782 0.119  3.49
Mn 0.000 0.718 0.619  3.49
Mn 0.000 0.218 0.881  3.49
O 0.000 0.500 0.000  0.09
O 0.500 0.796 0.100  0.08
O 0.500 0.704 0.600  0.08
O 0.000 0.921 0.783  0.12
O 0.500 0.296 0.400  0.08
O 0.500 0.204 0.900  0.08
O 0.000 0.079 0.217  0.12
O 0.000 0.579 0.283  0.12
O 0.000 0.421 0.717  0.12
O 0.000 0.000 0.500  0.09
Ca 0.500 0.309 0.133  0.01
Ca 0.500 0.191 0.633  0.01
Ca 0.500 0.809 0.367  0.01
Ca 0.500 0.691 0.867  0.01

The density of states at the Fermi level comes out at 1.6 states/eV per cell. As for the distance to the lowest polymorph of the same formula: 0.0 meV/atom. The theoretical density comes out at 4.38 g/cm³. The value obtained for the energy relative to the elements, uncorrected is -1964 kJ/mol of formula units.